# CdTcAs

Crystalline CdTcAs at its relaxed geometry (PBE-GGA, the Alexandria database).

Structure (extended XYZ):
```
3
Lattice="4.187 0.000 0.000 -2.094 3.626 0.000 0.000 0.000 3.631" Properties=species:S:1:pos:R:3 pbc="T T T"
Tc 2.094 1.209 3.026
Cd 0.000 2.418 1.210
As 0.000 0.000 3.026
```

Total magnetic moment ... 0.00 Bohr magnetons per cell
DOS(E_F) ... 2.0 states/eV/f.u.
Space-group type ... P-6m2
Excess energy over the best structure of this formula in the dataset ... 21.50 kJ/mol of atoms
Energy relative to the elements ... 0.6 eV per formula unit
Uncorrected energy ... -15.37 eV per cell